## one
Density functional theory data (GGA-PBE) for a relaxed structure of PrHo5Tm.

Results
The calculation puts the density of states at the Fermi level at 22.3 states/eV per cell. Its space group is C2/c (15). As for the crystal system: monoclinic. The total magnetization comes out at 0.000 μB/atom.

Cell: 6.4984 6.4984 11.4164 Å, 103.39 103.39 95.58°
Closest atoms and distances in Å follow each position.
Fractional positions:
Pr: 0.0000 0.5000 0.0000  6 Ho 3.35-3.61
Pr: 0.5000 0.0000 0.5000  6 Ho 3.35-3.61
Ho: 0.0669 0.2731 0.5352  7 Ho 3.28-3.66, 2 Tm 3.34-3.43, 1 Pr 3.52
Ho: 0.0828 0.9172 0.2500  6 Ho 3.28-3.56, 1 Tm 3.30, 2 Pr 3.35
Ho: 0.2731 0.0669 0.0352  7 Ho 3.28-3.66, 2 Tm 3.34-3.43, 1 Pr 3.52
Ho: 0.3015 0.4470 0.3326  6 Ho 3.35-3.72, 2 Tm 3.44-3.56, 1 Pr 3.61
Ho: 0.4470 0.3015 0.8326  6 Ho 3.35-3.72, 2 Tm 3.44-3.56, 1 Pr 3.61
Ho: 0.5530 0.6985 0.1674  6 Ho 3.35-3.72, 2 Tm 3.44-3.56, 1 Pr 3.61
Ho: 0.6985 0.5530 0.6674  6 Ho 3.35-3.72, 2 Tm 3.44-3.56, 1 Pr 3.61
Ho: 0.7269 0.9331 0.9648  7 Ho 3.28-3.66, 2 Tm 3.34-3.43, 1 Pr 3.52
Ho: 0.9172 0.0828 0.7500  6 Ho 3.28-3.56, 1 Tm 3.30, 2 Pr 3.35
Ho: 0.9331 0.7269 0.4648  7 Ho 3.28-3.66, 2 Tm 3.34-3.43, 1 Pr 3.52
Tm: 0.2604 0.7396 0.7500  9 Ho 3.30-3.56
Tm: 0.7396 0.2604 0.2500  9 Ho 3.30-3.56

## two
Density functional theory data (GGA-PBE) for a relaxed structure of PrHo5Tm.

Results
The calculation puts the density of states at the Fermi level at 15.5 states/eV per cell. Its space group is Immm (71). As for the crystal system: orthorhombic. The total magnetization comes out at 0.000 μB/atom.

Cell: 5.7573 8.6113 11.9252 Å, 90.00 90.00 90.00°
Closest atoms and distances in Å follow each position.
Fractional positions:
Pr: 0.0000 0.0000 0.0000  6 Ho 2.79-2.92
Pr: 0.5000 0.5000 0.5000  6 Ho 2.79-2.92
Ho: 0.0000 0.0000 0.2450  1 Pr 2.92, 1 Tm 3.04
Ho: 0.0000 0.0000 0.7550  1 Pr 2.92, 1 Tm 3.04
Ho: 0.0000 0.3237 0.0000  1 Pr 2.79, 1 Ho 3.04
Ho: 0.0000 0.5000 0.5000  2 Pr 2.88
Ho: 0.0000 0.6763 0.0000  1 Pr 2.79, 1 Ho 3.04
Ho: 0.5000 0.0000 0.0000  2 Pr 2.88
Ho: 0.5000 0.1763 0.5000  1 Pr 2.79, 1 Ho 3.04
Ho: 0.5000 0.5000 0.2550  1 Pr 2.92, 1 Tm 3.04
Ho: 0.5000 0.5000 0.7450  1 Pr 2.92, 1 Tm 3.04
Ho: 0.5000 0.8237 0.5000  1 Pr 2.79, 1 Ho 3.04
Tm: 0.0000 0.0000 0.5000  6 Ho 3.04-3.25
Tm: 0.5000 0.5000 0.0000  6 Ho 3.04-3.25

Verdict on stability: two comes out at the bottom.

## one
Density functional theory data (GGA-PBE) for a relaxed structure of PrHo4Tm6.

Results
The calculation puts the density of states at the Fermi level at 36.2 states/eV per cell. Its space group is Cmcm (63). As for the crystal system: orthorhombic. The total magnetization comes out at 0.000 μB/atom.

Cell: 5.5762 5.5762 25.4516 Å, 90.00 90.00 119.83°
Closest atoms and distances in Å follow each position.
Fractional positions:
Pr: 0.1697 0.8303 0.7500  3 Tm 3.22
Pr: 0.8303 0.1697 0.2500  3 Tm 3.22
Ho: 0.1657 0.8343 0.0413  8 Tm 3.39-3.63, 1 Ho 3.79
Ho: 0.1657 0.8343 0.4587  8 Tm 3.39-3.63, 1 Ho 3.79
Ho: 0.4967 0.5033 0.1214  5 Tm 3.09-3.27
Ho: 0.4967 0.5033 0.3786  5 Tm 3.09-3.27
Ho: 0.5033 0.4967 0.6214  5 Tm 3.09-3.27
Ho: 0.5033 0.4967 0.8786  5 Tm 3.09-3.27
Ho: 0.8343 0.1657 0.5413  8 Tm 3.39-3.63, 1 Ho 3.79
Ho: 0.8343 0.1657 0.9587  8 Tm 3.39-3.63, 1 Ho 3.79
Tm: 0.1636 0.8364 0.1803  4 Ho 3.54-3.56, 7 Tm 3.55-3.80, 3 Pr 3.67-3.68
Tm: 0.1636 0.8364 0.3197  4 Ho 3.54-3.56, 7 Tm 3.55-3.80, 3 Pr 3.67-3.68
Tm: 0.1693 0.8307 0.6013  7 Ho 3.26-3.63
Tm: 0.1693 0.8307 0.8987  7 Ho 3.26-3.63
Tm: 0.4968 0.5032 0.2500  3 Pr 3.22, 2 Ho 3.27
Tm: 0.5000 0.5000 0.0000  8 Ho 3.09-3.39
Tm: 0.5000 0.5000 0.5000  8 Ho 3.09-3.39
Tm: 0.5032 0.4968 0.7500  3 Pr 3.22, 2 Ho 3.27
Tm: 0.8307 0.1693 0.1013  7 Ho 3.26-3.63
Tm: 0.8307 0.1693 0.3987  7 Ho 3.26-3.63
Tm: 0.8364 0.1636 0.6803  4 Ho 3.54-3.56, 7 Tm 3.55-3.80, 3 Pr 3.67-3.68
Tm: 0.8364 0.1636 0.8197  4 Ho 3.54-3.56, 7 Tm 3.55-3.80, 3 Pr 3.67-3.68

## two
Density functional theory data (GGA-PBE) for a relaxed structure of PrHo4Tm6.

Results
The calculation puts the density of states at the Fermi level at 18.0 states/eV per cell. Its space group is I-42m (121). As for the crystal system: tetragonal. The total magnetization comes out at 0.000 μB/atom.

Cell: 8.3734 8.3734 8.3734 Å, 125.34 125.34 80.97°
Closest atoms and distances in Å follow each position.
Fractional positions:
Pr: 0.0000 0.0000 0.0000  8 Tm 3.64-3.84, 4 Ho 3.76
Ho: 0.2598 0.2598 0.6690  3 Tm 3.02-3.21, 2 Ho 3.18
Ho: 0.4092 0.7402 0.0000  3 Tm 3.02-3.21, 2 Ho 3.18
Ho: 0.5908 0.5908 0.3310  3 Tm 3.02-3.21, 2 Ho 3.18
Ho: 0.7402 0.4092 0.0000  3 Tm 3.02-3.21, 2 Ho 3.18
Tm: 0.0000 0.5000 0.5000  4 Ho 3.02
Tm: 0.0696 0.5595 0.0000  4 Ho 3.21-3.51
Tm: 0.4405 0.4405 0.5101  4 Ho 3.21-3.51
Tm: 0.5000 0.0000 0.5000  4 Ho 3.02
Tm: 0.5595 0.0696 0.0000  4 Ho 3.21-3.51
Tm: 0.9304 0.9304 0.4899  4 Ho 3.21-3.51

Verdict on stability: two comes out at the bottom.

## one
Density functional theory data (GGA-PBE) for a relaxed structure of Pr2Ho7Tm2.

Results
The calculation puts the density of states at the Fermi level at 17.3 states/eV per cell. Its space group is C2/m (12). As for the crystal system: monoclinic. The total magnetization comes out at 0.000 μB/atom.

Cell: 8.0233 8.0233 6.0288 Å, 106.21 106.21 90.72°
Closest atoms and distances in Å follow each position.
Fractional positions:
Pr: 0.2300 0.2300 0.0940  8 Ho 3.33-3.72, 2 Tm 3.49
Pr: 0.7700 0.7700 0.9060  8 Ho 3.33-3.72, 2 Tm 3.49
Ho: 0.0000 0.0000 0.5000  4 Ho 3.24, 2 Pr 3.49
Ho: 0.0606 0.5909 0.3254  2 Ho 3.21-3.24, 2 Tm 3.29-3.45, 2 Pr 3.33-3.57
Ho: 0.4091 0.9394 0.6746  2 Ho 3.21-3.24, 2 Tm 3.29-3.45, 2 Pr 3.33-3.57
Ho: 0.4137 0.4137 0.6995  6 Ho 3.36-3.77, 3 Pr 3.41-3.72, 2 Tm 3.62
Ho: 0.5863 0.5863 0.3005  6 Ho 3.36-3.77, 3 Pr 3.41-3.72, 2 Tm 3.62
Ho: 0.5909 0.0606 0.3254  2 Ho 3.21-3.24, 2 Tm 3.29-3.45, 2 Pr 3.33-3.57
Ho: 0.9394 0.4091 0.6746  2 Ho 3.21-3.24, 2 Tm 3.29-3.45, 2 Pr 3.33-3.57
Tm: 0.2194 0.7806 0.0000  6 Ho 3.29-3.62, 2 Pr 3.49
Tm: 0.7806 0.2194 0.0000  6 Ho 3.29-3.62, 2 Pr 3.49

## two
Density functional theory data (GGA-PBE) for a relaxed structure of Pr2Ho7Tm2.

Results
The calculation puts the density of states at the Fermi level at 15.1 states/eV per cell. Its space group is C2/m (12). As for the crystal system: monoclinic. The total magnetization comes out at 0.000 μB/atom.

Cell: 10.5182 10.5182 3.5810 Å, 99.73 99.73 66.51°
Closest atoms and distances in Å follow each position.
Fractional positions:
Pr: 0.2272 0.7728 0.0000  8 Ho 3.39-3.62, 2 Pr 3.58
Pr: 0.7728 0.2272 0.0000  8 Ho 3.39-3.62, 2 Pr 3.58
Ho: 0.0819 0.5811 0.3312  6 Ho 3.33-3.58, 2 Pr 3.42, 3 Tm 3.43-3.68
Ho: 0.1252 0.1252 0.1278  2 Pr 3.39, 6 Ho 3.48-3.58, 2 Tm 3.51
Ho: 0.4189 0.9181 0.6688  6 Ho 3.33-3.58, 2 Pr 3.42, 3 Tm 3.43-3.68
Ho: 0.5000 0.5000 0.5000  2 Ho 3.58, 4 Pr 3.62, 4 Tm 3.87-3.88
Ho: 0.5811 0.0819 0.3312  6 Ho 3.33-3.58, 2 Pr 3.42, 3 Tm 3.43-3.68
Ho: 0.8748 0.8748 0.8722  2 Pr 3.39, 6 Ho 3.48-3.58, 2 Tm 3.51
Ho: 0.9181 0.4189 0.6688  6 Ho 3.33-3.58, 2 Pr 3.42, 3 Tm 3.43-3.68
Tm: 0.3005 0.3005 0.8007  8 Ho 3.43-3.68, 2 Tm 3.58
Tm: 0.6995 0.6995 0.1993  8 Ho 3.43-3.68, 2 Tm 3.58

Verdict on stability: one comes out at the bottom.

## one
Density functional theory data (GGA-PBE) for a relaxed structure of Pr3HoTm6.

Results
The calculation puts the density of states at the Fermi level at 32.6 states/eV per cell. Its space group is P2_1/m (11). As for the crystal system: monoclinic. The total magnetization comes out at 0.000 μB/atom.

Cell: 13.2297 3.5410 14.5338 Å, 90.00 108.89 90.00°
Closest atoms and distances in Å follow each position.
Fractional positions:
Pr: 0.0038 0.2500 0.3914  1 Ho 3.29, 5 Tm 3.41-3.50, 4 Pr 3.54-3.65
Pr: 0.3819 0.2500 0.0067  7 Tm 3.39-3.72, 4 Pr 3.54-3.65
Pr: 0.4662 0.2500 0.5967  4 Tm 3.29-3.66, 4 Pr 3.54-3.67
Pr: 0.5338 0.7500 0.4033  4 Tm 3.29-3.66, 4 Pr 3.54-3.67
Pr: 0.6181 0.7500 0.9933  7 Tm 3.39-3.72, 4 Pr 3.54-3.65
Pr: 0.9962 0.7500 0.6086  1 Ho 3.29, 5 Tm 3.41-3.50, 4 Pr 3.54-3.65
Ho: 0.0780 0.2500 0.1962  8 Tm 3.24-3.58, 1 Pr 3.29, 2 Ho 3.54
Ho: 0.9220 0.7500 0.8038  8 Tm 3.24-3.58, 1 Pr 3.29, 2 Ho 3.54
Tm: 0.1374 0.7500 0.0151  3 Ho 3.45-3.47, 6 Tm 3.53-3.70, 2 Pr 3.72
Tm: 0.1564 0.2500 0.8111  3 Pr 3.39-3.50, 7 Tm 3.44-3.64, 2 Ho 3.54
Tm: 0.2185 0.2500 0.5990  4 Pr 3.29-3.47, 7 Tm 3.42-3.58
Tm: 0.2554 0.7500 0.3982  6 Tm 3.52-3.58, 2 Ho 3.58, 5 Pr 3.66-3.75
Tm: 0.3302 0.2500 0.2210  1 Ho 3.24, 3 Pr 3.40-3.58, 4 Tm 3.52-3.54
Tm: 0.3870 0.7500 0.7877  7 Tm 3.42-3.78, 5 Pr 3.52-3.72
Tm: 0.6130 0.2500 0.2123  7 Tm 3.42-3.78, 5 Pr 3.52-3.72
Tm: 0.6698 0.7500 0.7790  1 Ho 3.24, 3 Pr 3.40-3.58, 4 Tm 3.52-3.54
Tm: 0.7446 0.2500 0.6018  6 Tm 3.52-3.58, 2 Ho 3.58, 5 Pr 3.66-3.75
Tm: 0.7815 0.7500 0.4010  4 Pr 3.29-3.47, 7 Tm 3.42-3.58
Tm: 0.8436 0.7500 0.1889  3 Pr 3.39-3.50, 7 Tm 3.44-3.64, 2 Ho 3.54
Tm: 0.8626 0.2500 0.9849  3 Ho 3.45-3.47, 6 Tm 3.53-3.70, 2 Pr 3.72

## two
Density functional theory data (GGA-PBE) for a relaxed structure of Pr3HoTm6.

Results
The calculation puts the density of states at the Fermi level at 19.6 states/eV per cell. Its space group is R3 (146). As for the crystal system: trigonal. The total magnetization comes out at 0.000 μB/atom.

Cell: 6.8806 6.8806 6.8806 Å, 91.36 91.36 91.36°
Closest atoms and distances in Å follow each position.
Fractional positions:
Pr: 0.0000 0.0000 0.0000  1 Ho 2.90, 1 Pr 2.92, 3 Tm 3.23
Pr: 0.2510 0.2510 0.2510  2 Pr 2.92
Pr: 0.5018 0.5018 0.5018  1 Ho 2.90, 1 Pr 2.92, 3 Tm 3.23
Ho: 0.7510 0.7510 0.7510  2 Pr 2.90
Tm: 0.1700 0.5042 0.8262  2 Pr 3.23-3.48, 1 Ho 3.42
Tm: 0.3310 0.9964 0.6746  2 Pr 3.23-3.48, 1 Ho 3.42
Tm: 0.5042 0.8262 0.1700  2 Pr 3.23-3.48, 1 Ho 3.42
Tm: 0.6746 0.3310 0.9964  2 Pr 3.23-3.48, 1 Ho 3.42
Tm: 0.8262 0.1700 0.5042  2 Pr 3.23-3.48, 1 Ho 3.42
Tm: 0.9964 0.6746 0.3310  2 Pr 3.23-3.48, 1 Ho 3.42

Verdict on stability: two comes out at the bottom.